Compound: MnGaS2
Source: the Alexandria database
Functional: SCAN
Structure: single point on PBEsol structure

a = 3.1762 Å, b = 3.1762 Å, c = 8.2324 Å
α = 78.88°, β = 78.88°, γ = 60.00°
With the nearest neighbours (Å) after each atom.
Sites, in units of the cell vectors:
Mn 0.5000 0.5000 0.5000  6 S 2.27
Ga 0.0000 0.0000 0.0000  2 S 2.67
S 0.8892 0.8892 0.3325  3 Mn 2.27
S 0.1108 0.1108 0.6675  3 Mn 2.27

SG = R-3m (166)
Formation energy from raw total energies = -536 meV/atom
ΔE to the lowest computed polymorph = 0.0 meV per atom

=====

Compound: LiNi3Os
Source: the Alexandria database
Functional: SCAN
Structure: single point on PBEsol structure

a = 3.7992 Å, b = 3.7992 Å, c = 3.7992 Å
α = 90.00°, β = 90.00°, γ = 90.00°
With the nearest neighbours (Å) after each atom.
Sites, in units of the cell vectors:
Ni 0.5000 0.0000 0.0000  2 Li 1.90
Ni 0.0000 0.5000 0.0000  2 Li 1.90
Li 0.0000 0.0000 0.0000  6 Ni 1.90
Os 0.5000 0.5000 0.5000  12 Ni 2.69
Ni 0.0000 0.0000 0.5000  2 Li 1.90

SG = Pm-3m (221)
Energy of formation = 936 meV/atom

=====

Compound: InOsPtSe2
Source: the Alexandria database
Functional: SCAN
Structure: single point on PBEsol structure

a = 4.9456 Å, b = 4.9456 Å, c = 5.0082 Å
α = 90.00°, β = 90.00°, γ = 90.00°
With the nearest neighbours (Å) after each atom.
Sites, in units of the cell vectors:
In 0.0000 0.0000 0.0000  4 Se 2.47, 2 Os 2.50
Se 0.5000 0.0000 0.0000  2 In 2.47
Se 0.0000 0.5000 0.0000  2 In 2.47
Os 0.0000 0.0000 0.5000  2 In 2.50
Pt 0.5000 0.5000 0.5000  4 Os 3.50, 8 Se 3.52

SG = P4/mmm (123)
Formation energy from raw total energies = 2060 meV/atom

=====

Compound: Be3In
Source: the Alexandria database
Functional: SCAN
Structure: single point on PBEsol structure

a = 4.1292 Å, b = 4.1292 Å, c = 4.1292 Å
α = 60.00°, β = 60.00°, γ = 60.00°
With the nearest neighbours (Å) after each atom.
Sites, in units of the cell vectors:
Be 0.5000 0.5000 0.5000  8 Be 2.53
In 0.0000 0.0000 0.0000  8 Be 2.53
Be 0.7500 0.7500 0.7500  4 Be 2.53, 4 In 2.53
Be 0.2500 0.2500 0.2500  4 In 2.53, 4 Be 2.53

SG = Fm-3m (225)
Energy of formation = 627 meV/atom
ΔE to the lowest computed polymorph = 122.1 meV per atom

=====

Compound: LaSc2Rh
Source: the Alexandria database
Functional: SCAN
Structure: single point on PBEsol structure

a = 3.5359 Å, b = 5.0405 Å, c = 5.8688 Å
α = 115.43°, β = 107.53°, γ = 90.00°
With the nearest neighbours (Å) after each atom.
Sites, in units of the cell vectors:
Rh 0.7411 0.2411 0.4821  2 Sc 2.59, 2 La 2.80
Sc 0.2491 0.7491 0.4981  4 Rh 3.08, 2 Sc 3.20, 4 La 3.28-3.40
La 0.4588 0.4588 0.9177  2 Rh 2.80
Sc 0.0510 0.0510 0.1021  2 Rh 2.59

SG = Imm2 (44)
Energy of formation = -456 meV/atom

=====

Compound: ZnReRu2O
Source: the Alexandria database
Functional: SCAN
Structure: single point on PBEsol structure

a = 3.9409 Å, b = 4.0380 Å, c = 4.0380 Å
α = 90.00°, β = 90.00°, γ = 90.00°
With the nearest neighbours (Å) after each atom.
Sites, in units of the cell vectors:
Re 0.5000 0.0000 0.0000  2 O 1.97
O 0.0000 0.0000 0.0000  2 Re 1.97, 4 Ru 2.02
Zn 0.5000 0.5000 0.5000  8 Ru 2.82, 4 Re 2.86
Ru 0.0000 0.5000 0.0000  2 O 2.02
Ru 0.0000 0.0000 0.5000  2 O 2.02

SG = P4/mmm (123)
Formation energy from raw total energies = 378 meV/atom

=====

Compound: CsTaAs2Se
Source: the Alexandria database
Functional: SCAN
Structure: single point on PBEsol structure

a = 5.0430 Å, b = 5.0430 Å, c = 5.1594 Å
α = 90.00°, β = 90.00°, γ = 90.00°
With the nearest neighbours (Å) after each atom.
Sites, in units of the cell vectors:
Se 0.0000 0.0000 0.5000  2 Ta 2.58
As 0.5000 0.0000 0.0000  2 Ta 2.52
As 0.0000 0.5000 0.0000  2 Ta 2.52
Ta 0.0000 0.0000 0.0000  4 As 2.52, 2 Se 2.58
Cs 0.5000 0.5000 0.5000  4 Se 3.57, 8 As 3.61

SG = P4/mmm (123)
Formation energy from raw total energies = -336 meV/atom

=====

Compound: Li3Fe2Si2O8
Source: the Alexandria database
Functional: SCAN
Structure: single point on PBEsol structure

a = 4.9879 Å, b = 6.4780 Å, c = 10.5160 Å
α = 90.46°, β = 90.00°, γ = 90.00°
With the nearest neighbours (Å) after each atom.
Sites, in units of the cell vectors:
Si 0.4196 0.7595 0.1633  4 O 1.61-1.70
O 0.0265 0.2562 0.1866  1 Si 1.67
O 0.9494 0.4538 0.9091  1 Si 1.67
O 0.0506 0.4538 0.4091  1 Si 1.67
O 0.0558 0.0436 0.4077  1 Si 1.58
O 0.5088 0.7438 0.8149  1 Si 1.64
Li 0.9299 0.9949 0.0831  4 O 1.87-2.06
Si 0.9348 0.2387 0.3390  4 O 1.58-1.67
Fe 0.0636 0.4975 0.5927  4 O 1.84-1.99
O 0.0962 0.7435 0.1371  1 Si 1.64
Fe 0.9364 0.4975 0.0927  4 O 1.84-1.99
O 0.4605 0.9657 0.6007  1 Si 1.61
Li 0.5692 0.2239 0.6730  3 O 1.91-2.03
O 0.9038 0.7435 0.6371  1 Si 1.64
O 0.6016 0.2584 0.3452  1 Si 1.67
Si 0.5804 0.7595 0.6633  4 O 1.61-1.70
O 0.5415 0.5387 0.0962  1 Si 1.70
Li 0.5649 0.9939 0.9162  4 O 1.92-2.05
O 0.9442 0.0436 0.9077  1 Si 1.58
Si 0.0652 0.2387 0.8390  4 O 1.58-1.67
Li 0.4308 0.2239 0.1730  3 O 1.91-2.03
Li 0.4350 0.9939 0.4162  4 O 1.92-2.05
Fe 0.5604 0.5071 0.9079  4 O 1.84-1.99
O 0.4912 0.7438 0.3149  1 Si 1.64
O 0.3984 0.2584 0.8452  1 Si 1.67
O 0.5395 0.9657 0.1007  1 Si 1.61
Li 0.0701 0.9949 0.5831  4 O 1.87-2.06
Fe 0.4396 0.5071 0.4079  4 O 1.84-1.99
O 0.9735 0.2562 0.6866  1 Si 1.67
O 0.4585 0.5387 0.5962  1 Si 1.70

SG = Pc (7)
Formation energy from raw total energies = -2374 meV/atom
ΔE to the lowest computed polymorph = 14.3 meV per atom

=====

Compound: TlFe2Pt
Source: the Alexandria database
Functional: SCAN
Structure: single point on PBEsol structure

a = 2.8110 Å, b = 4.3325 Å, c = 4.9036 Å
α = 90.00°, β = 90.00°, γ = 90.00°
With the nearest neighbours (Å) after each atom.
Sites, in units of the cell vectors:
Fe 0.8750 0.5000 0.2760  4 Fe 2.58-2.81, 4 Pt 2.71, 2 Tl 2.76
Fe 0.8750 0.0000 0.9910  4 Fe 2.58-2.81, 2 Pt 2.62, 4 Tl 2.76
Pt 0.3749 0.0000 0.4421  6 Fe 2.62-2.71, 2 Tl 2.76, 2 Pt 2.81
Tl 0.3751 0.5000 0.7909  2 Pt 2.76, 8 Fe 2.76-2.89, 2 Tl 2.81

SG = Pmm2 (25)
Energy of formation = 105 meV/atom
ΔE to the lowest computed polymorph = 7.3 meV per atom

=====

Compound: SrIrIO2
Source: the Alexandria database
Functional: SCAN
Structure: single point on PBEsol structure

a = 4.2691 Å, b = 4.2691 Å, c = 6.6510 Å
α = 90.00°, β = 90.00°, γ = 90.00°
With the nearest neighbours (Å) after each atom.
Sites, in units of the cell vectors:
I 0.0000 0.0000 0.5000  4 Ir 3.02, 2 Sr 3.33
Sr 0.0000 0.0000 0.0000  4 O 2.13
Ir 0.5000 0.5000 0.5000  4 I 3.02
O 0.5000 0.0000 0.0000  2 Sr 2.13
O 0.0000 0.5000 0.0000  2 Sr 2.13

SG = P4/mmm (123)
Formation energy from raw total energies = 424 meV/atom

=====

Compound: BaYHO2
Source: the Alexandria database
Functional: SCAN
Structure: single point on PBEsol structure

a = 4.1592 Å, b = 4.3995 Å, c = 4.3995 Å
α = 90.00°, β = 90.00°, γ = 90.00°
With the nearest neighbours (Å) after each atom.
Sites, in units of the cell vectors:
O 0.0000 0.5000 0.0000  2 Y 2.20
H 0.5000 0.0000 0.0000  2 Y 2.08
O 0.0000 0.0000 0.5000  2 Y 2.20
Y 0.0000 0.0000 0.0000  2 H 2.08, 4 O 2.20
Ba 0.5000 0.5000 0.5000  8 O 3.03, 4 H 3.11

SG = P4/mmm (123)
DFT total energy = -19.282 eV per atom

=====

Compound: LiCdOs2
Source: the Alexandria database
Functional: SCAN
Structure: single point on PBEsol structure

a = 4.3363 Å, b = 4.3363 Å, c = 4.3363 Å
α = 60.00°, β = 60.00°, γ = 60.00°
With the nearest neighbours (Å) after each atom.
Sites, in units of the cell vectors:
Os 0.0000 0.0000 0.0000  4 Os 2.66, 4 Li 2.66
Li 0.2500 0.2500 0.2500  4 Os 2.66, 4 Cd 2.66
Cd 0.5000 0.5000 0.5000  4 Li 2.66, 4 Os 2.66
Os 0.7500 0.7500 0.7500  4 Cd 2.66, 4 Os 2.66

SG = F-43m (216)
Energy of formation = 331 meV/atom

=====

Compound: ZnOs2W
Source: the Alexandria database
Functional: SCAN
Structure: single point on PBEsol structure

a = 2.7622 Å, b = 2.7622 Å, c = 8.8494 Å
α = 81.02°, β = 81.02°, γ = 60.00°
With the nearest neighbours (Å) after each atom.
Sites, in units of the cell vectors:
Zn 0.0000 0.0000 0.0000  6 Os 2.70, 6 Zn 2.76
W 0.5000 0.5000 0.5000  6 Os 2.70, 6 W 2.76
Os 0.2499 0.2499 0.2503  3 W 2.70, 3 Zn 2.70, 6 Os 2.76
Os 0.7501 0.7501 0.7497  3 W 2.70, 3 Zn 2.70, 6 Os 2.76

SG = R-3m (166)
Energy of formation = 144 meV/atom